Record 1
Density functional theory data (PBE) for a geometry-optimized Li5SnSb6 structure.

POSCAR file:
```
Li5SnSb6
1.0
4.515 0.000 0.020
2.258 6.994 0.010
-0.037 0.000 8.815
Li Sb Sn
5 6 1
Cartesian
2.239 2.354 4.418
4.496 4.640 4.428
2.258 2.391 0.010
-0.019 0.000 4.408
4.515 4.604 0.020
4.488 2.386 6.548
4.505 2.386 2.307
2.232 0.000 6.477
2.246 0.000 2.359
2.247 4.608 2.297
2.231 4.608 6.538
0.000 0.000 0.000
```

Properties
Energy (eV per atom): -3.485
DOS(E_F) (states/eV per cell): 4.8
Total moment (μB/f.u.): 0.00
Calculated volume (Å³ per cell): 278.4
Space-group type: Cmmm (65)

Record 2
Density functional theory data (PBE) for a geometry-optimized LiSnSb structure.

POSCAR file:
```
LiSnSb
1.0
8.227 0.000 -0.024
0.000 4.649 0.000
-2.713 0.000 7.770
Li Sn Sb
4 4 4
Cartesian
4.629 0.000 2.201
3.272 2.324 6.086
5.755 2.324 4.013
7.111 0.000 0.128
1.461 0.000 7.006
-0.624 0.000 3.260
2.817 2.324 3.121
-1.981 2.324 7.145
5.661 2.324 1.056
1.665 0.000 1.117
0.309 2.324 5.002
4.305 0.000 4.941
```

Properties
Energy (eV per atom): -3.606
ΔE to the lowest computed polymorph (meV/atom): 0
DOS(E_F) (states/eV per cell): 1.0
Total moment (μB/f.u.): 0.00
Calculated volume (Å³ per cell): 296.9
Space-group type: Cm (8)

Record 3
Density functional theory data (PBE) for a geometry-optimized LiSnSb structure.

POSCAR file:
```
LiSnSb
1.0
4.706 0.000 0.000
2.353 4.076 0.000
2.353 1.359 3.843
Sn Li Sb
1 1 1
Cartesian
0.000 0.000 0.000
2.353 1.359 0.961
4.706 2.717 1.921
```

Properties
Energy (eV per atom): -3.565
ΔE to the lowest computed polymorph (meV/atom): 41
DOS(E_F) (states/eV per cell): 0.7
Total moment (μB/f.u.): 0.00
Calculated volume (Å³ per cell): 73.7
Space-group type: F-43m (216)

Record 4
Density functional theory data (PBE) for a geometry-optimized Li7SnSb4 structure.

POSCAR file:
```
Li7SnSb4
1.0
-1.059 -5.396 -0.193
3.990 -2.173 -4.774
5.605 -6.902 3.356
Li Sb Sn
7 4 1
Cartesian
2.334 -7.383 0.376
6.202 -7.088 -1.987
4.688 -5.403 0.626
-0.529 -2.698 -0.096
2.158 -2.554 -2.223
3.848 -9.068 -2.237
6.378 -11.918 0.612
6.509 -9.967 -1.484
3.417 -6.116 -2.262
2.027 -4.505 -0.127
5.120 -8.355 0.651
0.000 0.000 0.000
```

Properties
Energy (eV per atom): -3.236
ΔE to the lowest computed polymorph (meV/atom): 0
DOS(E_F) (states/eV per cell): 2.9
Total moment (μB/f.u.): 0.00
Calculated volume (Å³ per cell): 262.2
Space-group type: P-1 (2)

Record 5
Density functional theory data (PBE) for a geometry-optimized LiSnSb2 structure.

POSCAR file:
```
LiSnSb2
1.0
4.399 0.000 0.000
0.000 4.820 0.000
0.000 0.000 4.820
Sb Li Sn
2 1 1
Cartesian
0.000 2.410 0.000
0.000 0.000 2.410
2.200 2.410 2.410
2.200 0.000 0.000
```

Properties
Energy (eV per atom): -3.645
DOS(E_F) (states/eV per cell): 2.6
Total moment (μB/f.u.): 0.00
Calculated volume (Å³ per cell): 102.2
Space-group type: P4/mmm (123)

Record 6
Density functional theory data (PBE) for a geometry-optimized Li2Sn2Sb structure.

POSCAR file:
```
Li2Sn2Sb
1.0
-2.205 2.373 -3.029
-3.782 -3.248 0.209
-5.822 4.730 7.945
Li Sb Sn
4 2 4
Cartesian
-7.385 1.831 1.942
-4.425 2.024 3.184
-6.358 3.853 6.025
-5.451 0.003 -0.899
-5.506 -0.478 2.011
-6.303 4.333 3.114
-7.587 1.389 4.989
-2.883 0.869 -2.090
-8.926 2.987 7.216
-4.222 2.466 0.136
```

Properties
Energy (eV per atom): -3.463
ΔE to the lowest computed polymorph (meV/atom): 0
DOS(E_F) (states/eV per cell): 3.6
Total moment (μB/f.u.): 0.00
Calculated volume (Å³ per cell): 239.0
Space-group type: P2_1/m (11)

> Which formula does entry 2 have?

LiSnSb

> Look up the calculated volume of the third one.

73.7 Å³ per cell

Copy entry 1 word for word.
Density functional theory data (PBE) for a geometry-optimized Li5SnSb6 structure.

POSCAR file:
```
Li5SnSb6
1.0
4.515 0.000 0.020
2.258 6.994 0.010
-0.037 0.000 8.815
Li Sb Sn
5 6 1
Cartesian
2.239 2.354 4.418
4.496 4.640 4.428
2.258 2.391 0.010
-0.019 0.000 4.408
4.515 4.604 0.020
4.488 2.386 6.548
4.505 2.386 2.307
2.232 0.000 6.477
2.246 0.000 2.359
2.247 4.608 2.297
2.231 4.608 6.538
0.000 0.000 0.000
```

Properties
Energy (eV per atom): -3.485
DOS(E_F) (states/eV per cell): 4.8
Total moment (μB/f.u.): 0.00
Calculated volume (Å³ per cell): 278.4
Space-group type: Cmmm (65)